No. 1
Material: Ho8C3O
Method: DFT, PBE
State: optimized geometry

- Crystal system: monoclinic

Cell and atoms, written as POSCAR:
```
Ho8C3O
1.0
7.086 0.000 0.000
-3.543 5.044 -3.501
0.000 0.028 7.243
O C Ho
1 3 8
direct
0.000 0.000 0.000 O
0.000 0.500 0.000 C
0.500 0.000 0.000 C
0.500 0.500 0.000 C
0.261 0.017 0.774 Ho
0.244 0.488 0.226 Ho
0.256 0.512 0.769 Ho
0.244 0.983 0.226 Ho
0.739 0.983 0.226 Ho
0.744 0.488 0.231 Ho
0.756 0.017 0.774 Ho
0.756 0.512 0.774 Ho
```

=====

No. 2
Material: Ho4CO3
Method: DFT, PBE
State: optimized geometry

- Crystal system: monoclinic

Cell and atoms, written as POSCAR:
```
Ho4CO3
1.0
-1.387 2.981 4.967
-3.582 -4.710 -0.541
4.504 -3.834 3.559
Ho O C
8 6 2
direct
0.994 0.246 0.631 Ho
0.500 0.756 0.120 Ho
0.506 0.754 0.631 Ho
0.000 0.244 0.120 Ho
0.494 0.246 0.369 Ho
0.006 0.754 0.369 Ho
0.500 0.244 0.880 Ho
0.000 0.756 0.880 Ho
0.750 0.500 0.134 O
0.250 0.500 0.381 O
0.750 0.500 0.619 O
0.250 0.000 0.620 O
0.250 0.500 0.866 O
0.750 0.000 0.380 O
0.750 0.000 0.870 C
0.250 0.000 0.130 C
```

=====

No. 3
Material: HoCO
Method: DFT, PBE
State: optimized geometry

- Crystal system: orthorhombic

Cell and atoms, written as POSCAR:
```
HoCO
1.0
2.877 0.000 0.000
0.000 6.267 0.000
0.000 0.000 7.523
Ho O C
4 4 4
direct
0.250 0.687 0.833 Ho
0.250 0.187 0.667 Ho
0.750 0.313 0.167 Ho
0.750 0.813 0.333 Ho
0.250 0.593 0.153 O
0.250 0.093 0.347 O
0.750 0.907 0.653 O
0.750 0.407 0.847 O
0.250 0.040 0.002 C
0.750 0.960 0.998 C
0.250 0.540 0.498 C
0.750 0.460 0.502 C
```

=====

No. 4
Material: Ho8C3O4
Method: DFT, PBE
State: optimized geometry

- Crystal system: trigonal

Cell and atoms, written as POSCAR:
```
Ho8C3O4
1.0
6.142 0.000 3.312
2.178 5.743 3.312
0.035 0.024 7.285
C Ho O
3 8 4
direct
0.000 0.500 0.500 C
0.000 0.000 0.500 C
0.500 0.000 0.500 C
0.761 0.761 0.718 Ho
0.757 0.256 0.730 Ho
0.744 0.744 0.270 Ho
0.256 0.757 0.730 Ho
0.744 0.243 0.270 Ho
0.239 0.239 0.282 Ho
0.256 0.256 0.730 Ho
0.243 0.744 0.270 Ho
0.642 0.642 0.075 O
0.500 0.500 0.500 O
0.358 0.358 0.925 O
0.000 0.000 0.000 O
```

=====

No. 5
Material: Ho8C4O
Method: DFT, PBE
State: optimized geometry

- Crystal system: cubic

Cell and atoms, written as POSCAR:
```
Ho8C4O
1.0
-2.691 3.424 5.757
4.084 0.936 5.878
2.389 6.590 1.723
Ho C O
8 4 1
direct
0.619 0.619 0.619 Ho
0.135 0.135 0.596 Ho
0.619 0.142 0.619 Ho
0.596 0.135 0.135 Ho
0.135 0.596 0.135 Ho
0.142 0.619 0.619 Ho
0.135 0.135 0.135 Ho
0.619 0.619 0.142 Ho
0.374 0.374 0.374 C
0.374 0.374 0.879 C
0.374 0.879 0.374 C
0.879 0.374 0.374 C
0.750 0.750 0.750 O
```

=====

No. 6
Material: Ho6CO12
Method: DFT, PBE
State: optimized geometry

- Crystal system: trigonal

Cell and atoms, written as POSCAR:
```
Ho6CO12
1.0
6.329 -0.005 -0.006
-0.965 6.255 -0.006
-0.965 -1.124 6.154
O Ho C
12 6 1
direct
0.597 0.177 0.440 O
0.264 0.064 0.977 O
0.403 0.823 0.560 O
0.977 0.264 0.064 O
0.440 0.597 0.177 O
0.064 0.977 0.264 O
0.177 0.440 0.597 O
0.023 0.736 0.936 O
0.560 0.403 0.823 O
0.736 0.936 0.023 O
0.936 0.023 0.736 O
0.823 0.560 0.403 O
0.606 0.303 0.143 Ho
0.303 0.143 0.606 Ho
0.697 0.857 0.394 Ho
0.857 0.394 0.697 Ho
0.143 0.606 0.303 Ho
0.394 0.697 0.857 Ho
0.000 0.000 0.000 C
```

=====

No. 7
Material: HoPaCO
Method: DFT, PBE
State: optimized geometry

- Crystal system: tetragonal

Cell and atoms, written as POSCAR:
```
HoPaCO
1.0
-0.494 1.282 -3.817
-1.764 -3.525 -0.956
-7.455 3.180 2.033
Pa C O Ho
2 2 2 2
direct
0.500 0.500 0.000 Pa
0.000 0.000 0.000 Pa
0.500 0.000 0.158 C
0.000 0.500 0.842 C
0.000 0.000 0.500 O
0.500 0.500 0.500 O
0.000 0.500 0.382 Ho
0.500 0.000 0.618 Ho
```

=====

No. 8
Material: HoPbC2O6
Method: DFT, PBE
State: optimized geometry

- Crystal system: monoclinic

Cell and atoms, written as POSCAR:
```
HoPbC2O6
1.0
6.400 0.821 -0.084
0.031 6.453 -0.084
-1.871 -2.116 6.474
C O Ho Pb
4 12 2 2
direct
0.866 0.574 0.759 C
0.134 0.426 0.241 C
0.426 0.134 0.741 C
0.574 0.866 0.259 C
0.948 0.397 0.256 O
0.661 0.802 0.424 O
0.283 0.544 0.400 O
0.544 0.283 0.900 O
0.802 0.661 0.924 O
0.456 0.717 0.100 O
0.198 0.339 0.076 O
0.603 0.052 0.244 O
0.397 0.948 0.756 O
0.717 0.456 0.600 O
0.052 0.603 0.744 O
0.339 0.198 0.576 O
0.418 0.582 0.750 Ho
0.582 0.418 0.250 Ho
0.957 0.043 0.750 Pb
0.043 0.957 0.250 Pb
```

=====

What did we get for formation energy without anion corrections? Answer: -69.1 -228.0 -143.7 -159.4 -66.1 -249.5 -127.3 -174.2 kJ/mol of atoms, in the order shown.